(1)
VASP calculation (PBE-GGA) on crystalline TmAlGa at its relaxed geometry.

Cell lengths 4.736, 4.736, 4.736 Å; angles 60.00, 60.00, 60.00 degrees
Positions (direct):
Tm: 0.000 0.000 0.000
Al: 0.750 0.750 0.750
Ga: 0.250 0.250 0.250

Results
The total energy comes out at -3.65 eV per atom. The calculation puts the volume at 25.04 Å³/atom. The size of the total moment comes out at 0.001 μB per cell.

---

(2)
VASP calculation (PBE-GGA) on crystalline Tm2AlZn2Ga at its relaxed geometry.

Cell lengths 4.414, 4.414, 7.025 Å; angles 90.00, 90.00, 120.00 degrees
Positions (direct):
Tm: 0.000 0.000 0.000
Tm: 0.000 0.000 0.496
Al: 0.333 0.667 0.722
Zn: 0.333 0.667 0.291
Zn: 0.667 0.333 0.787
Ga: 0.667 0.333 0.216

Results
The total energy comes out at -3.55 eV per atom. The calculation puts the volume at 19.76 Å³/atom. The size of the total moment comes out at 0.005 μB per cell.

---

(3)
VASP calculation (PBE-GGA) on crystalline UAlGa at its relaxed geometry.

Cell lengths 4.539, 4.539, 4.539 Å; angles 60.00, 60.00, 60.00 degrees
Positions (direct):
U: 0.000 0.000 0.000
Al: 0.500 0.500 0.500
Ga: 0.750 0.750 0.750

Results
The total energy comes out at -5.74 eV per atom. The calculation puts the volume at 22.05 Å³/atom. The size of the total moment comes out at 3.088 μB per cell.

---

Question: size of the total moment of number 1 (TmAlGa)?
Answer: 0.001 μB per cell

---

Question: The lowest size of the total moment belongs to which entry?
Answer: TmAlGa

---

Question: The lowest volume belongs to which entry?
Answer: Tm2AlZn2Ga

---

Question: Which of these has the lowest volume?
Answer: Tm2AlZn2Ga